1.
# SmCdPd6, optimized geometry, DFT PBE
# energy of formation = -0.513 eV/atom
# final energy = -5.11 eV/atom
# offset from the most stable computed form = 0.000 eV/atom
data_SmCdPd6
_space_group_name_H-M_alt 'P 4/m m m'
_space_group_IT_number 123
_space_group_name_Hall '-P 4 2'
_cell_length_a 4.110
_cell_length_b 4.110
_cell_length_c 8.193
_cell_angle_alpha 90.00
_cell_angle_beta 90.00
_cell_angle_gamma 90.00
loop_
_atom_site_label
_atom_site_type_symbol
_atom_site_fract_x
_atom_site_fract_y
_atom_site_fract_z
Sm1 Sm 0.000 0.000 0.000
Cd1 Cd 0.000 0.000 0.500
Pd1 Pd 0.000 0.500 0.258
Pd2 Pd 0.500 0.500 0.000
Pd3 Pd 0.500 0.500 0.500

***

2.
# Sm3Cd9Pd2, optimized geometry, DFT PBE
# energy of formation = -0.350 eV/atom
# final energy = -2.69 eV/atom
data_Sm3Cd9Pd2
_space_group_name_H-M_alt 'I m m m'
_space_group_IT_number 71
_space_group_name_Hall '-I 2 2'
_cell_length_a 4.875
_cell_length_b 10.458
_cell_length_c 12.709
_cell_angle_alpha 90.00
_cell_angle_beta 90.00
_cell_angle_gamma 90.00
loop_
_atom_site_label
_atom_site_type_symbol
_atom_site_fract_x
_atom_site_fract_y
_atom_site_fract_z
Sm1 Sm 0.000 0.000 0.000
Sm2 Sm 0.000 0.000 0.299
Cd1 Cd 0.000 0.278 0.135
Cd2 Cd 0.000 0.365 0.360
Cd3 Cd 0.000 0.500 0.000
Pd1 Pd 0.000 0.150 0.500

***

3.
# Sm11Cd9Pd4, optimized geometry, DFT PBE
# energy of formation = -0.521 eV/atom
# final energy = -3.89 eV/atom
data_Sm11Cd9Pd4
_space_group_name_H-M_alt 'C m m m'
_space_group_IT_number 65
_space_group_name_Hall '-C 2 2'
_cell_length_a 14.837
_cell_length_b 22.298
_cell_length_c 3.741
_cell_angle_alpha 90.00
_cell_angle_beta 90.00
_cell_angle_gamma 90.00
loop_
_atom_site_label
_atom_site_type_symbol
_atom_site_fract_x
_atom_site_fract_y
_atom_site_fract_z
Sm1 Sm 0.000 0.000 0.000
Sm2 Sm 0.000 0.163 0.000
Sm3 Sm 0.000 0.371 0.000
Sm4 Sm 0.196 0.500 0.000
Sm5 Sm 0.243 0.171 0.000
Cd1 Cd 0.000 0.500 0.500
Cd2 Cd 0.104 0.263 0.500
Cd3 Cd 0.144 0.072 0.500
Pd1 Pd 0.151 0.400 0.500

***

4.
# SmCd4Pd15, optimized geometry, DFT PBE
# energy of formation = -0.347 eV/atom
# final energy = -4.66 eV/atom
data_SmCd4Pd15
_space_group_name_H-M_alt 'P 4/m m m'
_space_group_IT_number 123
_space_group_name_Hall '-P 4 2'
_cell_length_a 4.077
_cell_length_b 4.077
_cell_length_c 20.137
_cell_angle_alpha 90.00
_cell_angle_beta 90.00
_cell_angle_gamma 90.00
loop_
_atom_site_label
_atom_site_type_symbol
_atom_site_fract_x
_atom_site_fract_y
_atom_site_fract_z
Sm1 Sm 0.000 0.000 0.000
Cd1 Cd 0.000 0.000 0.206
Cd2 Cd 0.000 0.000 0.402
Pd1 Pd 0.000 0.500 0.106
Pd2 Pd 0.000 0.500 0.304
Pd3 Pd 0.000 0.500 0.500
Pd4 Pd 0.500 0.500 0.000
Pd5 Pd 0.500 0.500 0.205
Pd6 Pd 0.500 0.500 0.402

***

5.
# Sm6Cd2Pd, optimized geometry, DFT PBE
# energy of formation = -0.214 eV/atom
# final energy = -4.14 eV/atom
data_Sm6Cd2Pd
_space_group_name_H-M_alt 'P 1 21/c 1'
_space_group_IT_number 14
_cell_length_a 6.277
_cell_length_b 9.435
_cell_length_c 10.393
_cell_angle_alpha 90.00
_cell_angle_beta 119.37
_cell_angle_gamma 90.00
loop_
_space_group_symop_operation_xyz
'x,y,z'
'-x,-y,-z'
'-x,y+1/2,-z+1/2'
'x,-y+1/2,z+1/2'
loop_
_atom_site_label
_atom_site_type_symbol
_atom_site_fract_x
_atom_site_fract_y
_atom_site_fract_z
Sm1 Sm 0.065 0.178 0.470
Sm2 Sm 0.352 0.680 0.447
Sm3 Sm 0.397 0.034 0.289
Cd1 Cd 0.133 0.103 0.769
Pd1 Pd 0.000 0.000 0.000

***

6.
# SmCdPd6, optimized geometry, DFT PBE
# energy of formation = -0.348 eV/atom
# final energy = -4.95 eV/atom
# offset from the most stable computed form = 0.165 eV/atom
data_SmCdPd6
_space_group_name_H-M_alt 'P m -3'
_space_group_IT_number 200
_space_group_name_Hall '-P 2 2 3'
_cell_length_a 5.228
_cell_length_b 5.228
_cell_length_c 5.228
_cell_angle_alpha 90.00
_cell_angle_beta 90.00
_cell_angle_gamma 90.00
loop_
_atom_site_label
_atom_site_type_symbol
_atom_site_fract_x
_atom_site_fract_y
_atom_site_fract_z
Sm1 Sm 0.000 0.000 0.000
Cd1 Cd 0.500 0.500 0.500
Pd1 Pd 0.000 0.254 0.500